Density functional theory data (GGA+U) for an optimized crystal structure of CsMgFeF6.

DFT total energy   -4.93 eV/atom
D(E_F)   0.0 states/eV/f.u.
Space group   C2
ΔE to the lowest computed polymorph   188 meV/atom
Magnetization   2.94 μB per formula unit

abc: 5.319 5.379 6.542
angles: 90.18 90.07 59.61
Each line ends with the local moment (μB).
Fractional coordinates of all 9 atoms:
Mg 0.341 0.329 0.500  0.00
F 0.616 0.999 0.326  0.05
F 0.984 0.621 0.666  -0.02
F 0.389 0.627 0.340  -0.03
F 0.389 0.984 0.660  -0.03
F 0.616 0.385 0.674  0.05
Fe 0.672 0.664 0.500  2.90
F 0.984 0.395 0.334  -0.02
Cs 0.007 0.996 0.000  0.00